Entry from the Alexandria database: a geometry-optimized SbN2OF structure (PBE).

E_form (uncorrected) ... 1.357 eV/atom
Total energy ... -20.82 eV/cell

CIF file:
```
data_SbN2OF
_cell_length_a 3.6920
_cell_length_b 3.6920
_cell_length_c 3.8589
_cell_angle_alpha 90.00
_cell_angle_beta 90.00
_cell_angle_gamma 90.00
_symmetry_space_group_name_H-M 'P 4/m m m'
_symmetry_Int_Tables_number 123
_symmetry_space_group_name_Hall '-P 4 2'
loop_
_atom_site_label
_atom_site_type_symbol
_atom_site_fract_x
_atom_site_fract_y
_atom_site_fract_z
_atom_site_occupancy
Sb1 Sb 0.0000 0.0000 0.0000 1
N1 N 0.0000 0.5000 0.5000 1
O1 O 0.5000 0.5000 0.5000 1
F1 F 0.5000 0.5000 0.0000 1
```